# 1
This record from Alexandria via LeMat-Bulk describes an optimized crystal structure of Rb2CrTcI6. The functional is PBE.

Results
DOS(E_F) = 7.1 states/eV/cell
formation energy (no corrections) = -532 meV/atom
final energy = -3.65 eV/atom
space group = I4/mmm (139)
calculated density = 4633 kg/m3

a b c (Å): 8.1901 8.1901 8.1845
angles (deg): 59.98 59.98 90.00
Each line ends with the local moment (μB).
Atoms (fractional coordinates):
Rb  0.7500  0.2500  0.5000  0.00
Rb  0.2500  0.7500  0.5000  0.00
I  0.7505  0.7505  0.4989  0.04
I  0.2496  0.7504  0.0000  0.04
I  0.7504  0.7504  0.0000  0.04
I  0.7504  0.2496  0.0000  0.04
I  0.2496  0.2496  0.0000  0.04
I  0.2495  0.2495  0.5011  0.04
Tc  0.0000  0.0000  0.0000  3.21
Cr  0.5000  0.5000  0.0000  3.90



# 2
This record from Alexandria via LeMat-Bulk describes an optimized crystal structure of Rb2CrTcI. The functional is PBE.

Results
DOS(E_F) = 3.4 states/eV/cell
formation energy (no corrections) = 1095 meV/atom
final energy = -3.60 eV/atom
space group = P4/mmm (123)
calculated density = 2964 kg/m3

a b c (Å): 6.9658 6.9658 5.1704
angles (deg): 90.00 90.00 90.00
Each line ends with the local moment (μB).
Atoms (fractional coordinates):
Tc  0.0000  0.0000  0.5000  -2.53
Rb  0.5000  0.0000  0.0000  0.00
Rb  0.0000  0.5000  0.0000  0.00
Cr  0.5000  0.5000  0.5000  4.29
I  0.0000  0.0000  0.0000  -0.04



# 3
This record from Alexandria via LeMat-Bulk describes an optimized crystal structure of RbCrTe2I. The functional is PBE.

Results
DOS(E_F) = 5.1 states/eV/cell
formation energy (no corrections) = -367 meV/atom
final energy = -4.05 eV/atom
space group = P4/mmm (123)
calculated density = 4979 kg/m3

a b c (Å): 5.3191 6.1250 5.3191
angles (deg): 90.00 90.00 90.00
Each line ends with the local moment (μB).
Atoms (fractional coordinates):
Cr  0.0000  0.0000  0.0000  3.13
I  0.0000  0.5000  0.0000  -0.08
Rb  0.5000  0.5000  0.5000  0.00
Te  0.0000  0.0000  0.5000  -0.17
Te  0.5000  0.0000  0.0000  -0.33



# 4
This record from Alexandria via LeMat-Bulk describes an optimized crystal structure of Rb2TlCrI6. The functional is PBE.

Results
formation energy (no corrections) = -869 meV/atom
final energy = -3.19 eV/atom
space group = P2_1/c (14)
calculated density = 4534 kg/m3

a b c (Å): 8.3312 8.6932 12.0234
angles (deg): 90.00 90.06 90.00
Each line ends with the local moment (μB).
Atoms (fractional coordinates):
I  0.9140  0.5107  0.2224  -0.04
I  0.3326  0.7285  0.4596  -0.04
I  0.5860  0.0107  0.2776  -0.04
I  0.2747  0.6706  0.0438  -0.04
I  0.2253  0.1706  0.4562  -0.04
I  0.6674  0.2715  0.5404  -0.04
I  0.4140  0.9893  0.7224  -0.04
I  0.8326  0.7715  0.9596  -0.04
I  0.1674  0.2285  0.0404  -0.04
I  0.7747  0.8294  0.5438  -0.04
I  0.7253  0.3294  0.9562  -0.04
I  0.0860  0.4893  0.7776  -0.04
Cr  0.5000  0.0000  0.5000  3.08
Cr  0.0000  0.5000  0.0000  3.08
Rb  0.4752  0.4227  0.2533  0.00
Rb  0.9752  0.0773  0.7533  0.00
Rb  0.0248  0.9227  0.2467  0.00
Rb  0.5248  0.5773  0.7467  0.00
Tl  0.5000  0.0000  0.0000  -0.02
Tl  0.0000  0.5000  0.5000  -0.02



# 5
This record from Alexandria via LeMat-Bulk describes an optimized crystal structure of Rb2TlCrI6. The functional is PBE.

Results
DOS(E_F) = 0.0 states/eV/cell
formation energy (no corrections) = -844 meV/atom
final energy = -3.17 eV/atom
space group = Fm-3m (225)
calculated density = 4417 kg/m3

a b c (Å): 8.5819 8.5819 8.5817
angles (deg): 60.00 60.00 90.00
Each line ends with the local moment (μB).
Atoms (fractional coordinates):
I  0.2730  0.2730  0.4540  -0.04
I  0.2730  0.2730  0.0000  -0.04
I  0.7270  0.7270  0.0000  -0.04
I  0.7270  0.2730  0.0000  -0.04
I  0.7270  0.7270  0.5460  -0.04
I  0.2730  0.7270  0.0000  -0.04
Tl  0.0000  0.0000  0.0000  -0.04
Rb  0.2500  0.7500  0.5000  0.00
Rb  0.7500  0.2500  0.5000  0.00
Cr  0.5000  0.5000  0.0000  3.04



# 6
This record from Alexandria via LeMat-Bulk describes an optimized crystal structure of RbVCrI6. The functional is PBE.

Results
DOS(E_F) = 3.9 states/eV/cell
formation energy (no corrections) = -653 meV/atom
final energy = -3.88 eV/atom
space group = P312 (149)
calculated density = 4130 kg/m3

a b c (Å): 7.2604 7.2605 8.3652
angles (deg): 90.00 90.00 60.00
Each line ends with the local moment (μB).
Atoms (fractional coordinates):
Rb  0.0000  0.0000  0.0000  0.00
V  0.3333  0.3333  0.5000  2.42
I  0.6360  0.3674  0.6881  -0.05
I  0.9965  0.3674  0.3118  -0.05
I  0.9965  0.6361  0.6881  -0.05
I  0.3674  0.6361  0.3118  -0.05
I  0.6360  0.9965  0.3118  -0.05
I  0.3674  0.9965  0.6881  -0.05
Cr  0.6667  0.6667  0.5000  3.23



# 7
This record from Alexandria via LeMat-Bulk describes an optimized crystal structure of Rb2YCrI6. The functional is PBE.

Results
DOS(E_F) = 0.0 states/eV/cell
formation energy (no corrections) = -1072 meV/atom
final energy = -3.80 eV/atom
space group = Fm-3m (225)
calculated density = 4101 kg/m3

a b c (Å): 8.5013 8.5013 8.5026
angles (deg): 60.01 60.01 90.00
Each line ends with the local moment (μB).
Atoms (fractional coordinates):
I  0.7475  0.2525  0.0000  0.00
I  0.7475  0.7475  0.0000  0.00
I  0.2525  0.2525  0.0000  0.00
I  0.2524  0.2524  0.4952  0.00
I  0.2525  0.7475  0.0000  0.00
I  0.7476  0.7476  0.5048  0.00
Rb  0.2500  0.7500  0.5000  0.00
Rb  0.7500  0.2500  0.5000  0.00
Y  0.0000  0.0000  0.0000  0.12
Cr  0.5000  0.5000  0.0000  4.19



# 8
This record from Alexandria via LeMat-Bulk describes an optimized crystal structure of Rb2ZnCrI6. The functional is PBE.

Results
DOS(E_F) = 0.0 states/eV/cell
formation energy (no corrections) = -781 meV/atom
final energy = -2.99 eV/atom
space group = I4/mmm (139)
calculated density = 4250 kg/m3

a b c (Å): 8.4376 8.4376 8.2942
angles (deg): 59.43 59.43 90.00
Each line ends with the local moment (μB).
Atoms (fractional coordinates):
I  0.7297  0.7297  0.0000  -0.02
I  0.2703  0.7297  0.0000  -0.03
I  0.7297  0.2703  0.0000  -0.03
I  0.2703  0.2703  0.0000  -0.02
I  0.2214  0.2214  0.5571  0.00
I  0.7786  0.7786  0.4429  0.00
Rb  0.7500  0.2500  0.5000  0.00
Rb  0.2500  0.7500  0.5000  0.00
Zn  0.0000  0.0000  0.0000  0.04
Cr  0.5000  0.5000  0.0000  3.62



> Number 2 is which compound?

Rb2CrTcI



> Which formula does entry 6 have?

RbVCrI6